An optimized crystal structure of LaTl3Re. Source: the Alexandria database, functional PBE.

Cell lengths 5.9246, 5.9246, 5.9246 Å; angles 90.00, 90.00, 90.00 degrees
Closest atoms and distances in Å follow each position.
Space group Pm-3m (No. 221)
Unique sites:
La1 0.0000 0.0000 0.0000 [1 per cell]  6 Tl 2.96
Tl1 0.0000 0.0000 0.5000 [3 per cell]  2 La 2.96
Re1 0.5000 0.5000 0.5000 [1 per cell]  12 Tl 4.19

E_form: 2.187 eV/atom
spin magnetization: 0.00 μB per formula unit
energy: -2.7081 eV per atom